(1)
Crystalline Sr2ScCo at its relaxed geometry. Source: the Alexandria database, functional GGA-PBE.

Cell lengths 10.5736, 10.5736, 10.5736 Å; angles 20.54, 20.54, 20.54 degrees
Closest atoms and distances in Å follow each position.
Fractional positions:
Sr  0.9821  0.9821  0.9821  3 Co 2.98
Sr  0.5179  0.5179  0.5179  3 Co 2.98
Co  0.2500  0.2500  0.2500  6 Sr 2.98
Sc  0.7500  0.7500  0.7500  6 Sc 3.77, 6 Sr 3.82

## Properties
energy of formation from the pure elements = 2.48 eV per formula unit
energy above the lowest structure with this stoichiometry = 485 meV per atom
crystal system = trigonal
energy = -0.132 Ha/atom
density of states at the Fermi level = 5.5 states/eV per cell

(2)
Crystalline SrSc2Co at its relaxed geometry. Source: the Alexandria database, functional GGA-PBE.

Cell lengths 10.8267, 10.8267, 10.8267 Å; angles 17.56, 17.56, 17.56 degrees
Closest atoms and distances in Å follow each position.
Fractional positions:
Sr  0.5000  0.5000  0.5000  6 Sr 3.31, 6 Sc 3.65
Sc  0.9305  0.9305  0.9305  1 Co 2.22
Sc  0.0695  0.0695  0.0695  1 Co 2.22
Co  0.0000  0.0000  0.0000  2 Sc 2.22

## Properties
energy of formation from the pure elements = 2.79 eV per formula unit
energy above the lowest structure with this stoichiometry = 692 meV per atom
crystal system = trigonal
energy = -0.171 Ha/atom
density of states at the Fermi level = 7.0 states/eV per cell

(3)
Crystalline Sr2ScCo at its relaxed geometry. Source: the Alexandria database, functional GGA-PBE.

Cell lengths 5.0927, 5.0913, 4.5871 Å; angles 90.00, 90.00, 90.00 degrees
Closest atoms and distances in Å follow each position.
Fractional positions:
Sc  0.0000  0.5000  0.5000  8 Sr 3.43, 4 Co 3.60
Co  0.5000  0.0000  0.5000  8 Sr 3.43, 4 Sc 3.60
Sr  0.0000  0.0000  0.0000  4 Sc 3.43, 4 Co 3.43, 4 Sr 3.60
Sr  0.5000  0.5000  0.0000  4 Co 3.43, 4 Sc 3.43, 4 Sr 3.60

## Properties
energy of formation from the pure elements = 2.60 eV per formula unit
energy above the lowest structure with this stoichiometry = 513 meV per atom
crystal system = tetragonal
energy = -0.131 Ha/atom
density of states at the Fermi level = 6.5 states/eV per cell

(4)
Crystalline SrScCo2 at its relaxed geometry. Source: the Alexandria database, functional GGA-PBE.

Cell lengths 3.9465, 3.9943, 5.9876 Å; angles 70.55, 90.00, 90.00 degrees
Closest atoms and distances in Å follow each position.
Fractional positions:
Co  0.0000  0.1464  0.0823  2 Co 2.19
Co  0.5000  0.0630  0.2488  2 Co 2.19
Sr  0.5000  0.7815  0.8120  7 Co 3.17-3.20
Sc  0.0000  0.5091  0.3569  2 Co 2.53

## Properties
energy of formation from the pure elements = 0.35 eV per formula unit
energy above the lowest structure with this stoichiometry = 76 meV per atom
crystal system = orthorhombic
energy = -0.201 Ha/atom
density of states at the Fermi level = 3.9 states/eV per cell

(5)
Crystalline SrSc2Co at its relaxed geometry. Source: the Alexandria database, functional GGA-PBE.

Cell lengths 7.3593, 7.3593, 7.3919 Å; angles 60.15, 60.15, 90.00 degrees
Closest atoms and distances in Å follow each position.
Fractional positions:
Co  0.5000  0.5000  0.0000  4 Sc 2.26
Co  0.2500  0.7500  0.5000  4 Sc 2.26
Sc  0.3750  0.6251  0.7500  2 Co 2.26
Sc  0.3751  0.6250  0.2500  2 Co 2.26
Sc  0.3749  0.1250  0.2500  2 Co 2.26
Sc  0.8750  0.6249  0.7500  2 Co 2.26
Sr  0.7500  0.2500  0.5000  12 Sc 4.32-4.35, 4 Co 4.52, 4 Sr 4.52
Sr  0.0000  0.0000  0.0000  12 Sc 4.32-4.35, 4 Co 4.52, 4 Sr 4.52

## Properties
energy of formation from the pure elements = 1.84 eV per formula unit
energy above the lowest structure with this stoichiometry = 454 meV per atom
crystal system = tetragonal
energy = -0.180 Ha/atom
density of states at the Fermi level = 18.4 states/eV per cell

(6)
Crystalline SrScCo2 at its relaxed geometry. Source: the Alexandria database, functional GGA-PBE.

Cell lengths 5.6534, 5.6534, 5.6534 Å; angles 139.21, 139.21, 59.06 degrees
Closest atoms and distances in Å follow each position.
Fractional positions:
Co  0.2500  0.7500  0.5000  4 Sr 2.79
Co  0.0000  0.0000  0.0000  4 Sc 2.79
Sr  0.7500  0.2500  0.5000  4 Co 2.79
Sc  0.5000  0.5000  0.0000  4 Co 2.79

## Properties
energy of formation from the pure elements = 2.26 eV per formula unit
energy above the lowest structure with this stoichiometry = 554 meV per atom
crystal system = tetragonal
energy = -0.183 Ha/atom
density of states at the Fermi level = 6.1 states/eV per cell